{"formula": "LaTa2O6", "functional": "PBE-GGA", "state": "relaxed", "lattice_angstrom": [[6.679, -0.365, 0.075], [-2.868, 6.043, -0.075], [-1.998, -2.777, 5.749]], "species": ["La", "La", "Ta", "Ta", "Ta", "Ta", "O", "O", "O", "O", "O", "O", "O", "O", "O", "O", "O", "O"], "fractional_positions": [[0.000, 0.500, 0.500], [0.000, 0.000, 0.000], [0.500, 0.338, 0.838], [0.500, 0.662, 0.162], [0.658, 0.000, 0.658], [0.342, 0.000, 0.342], [0.532, 0.678, 0.854], [0.468, 0.322, 0.146], [0.176, 0.322, 0.854], [0.824, 0.678, 0.146], [0.768, 0.787, 0.555], [0.232, 0.213, 0.445], [0.232, 0.787, 0.020], [0.768, 0.213, 0.980], [0.688, 0.334, 0.646], [0.312, 0.666, 0.354], [0.312, 0.958, 0.646], [0.688, 0.042, 0.354]], "spacegroup": "Immm", "mass_density_kg_m3": 8767, "formation_energy_uncorrected_ev_per_atom": -2.529}